1.
Material: SbTeRhI2
Method: DFT, PBE-GGA
State: optimized geometry

Output
E, eV/atom: -3.2446
Mass density, Mg/m³: 6.7
Energy relative to the elements, uncorrected, eV per atom: 0.299

Lattice parameters (Å, degrees): 5.3132 5.3132 5.3167 90.00 90.00 90.00
Last column: nearest neighbours and their distance in Å.
Space group P4/mmm (No. 123)
Inequivalent atoms, fractional coordinates:
Sb 0.0000 0.0000 0.0000  4 Te 3.76, 8 I 3.76
Te 0.5000 0.5000 0.0000  2 Rh 2.66
Rh 0.5000 0.5000 0.5000  4 I 2.66, 2 Te 2.66
I 0.0000 0.5000 0.5000  2 Rh 2.66

2.
Material: SbTe2RhI
Method: DFT, PBE-GGA
State: optimized geometry

Output
E, eV/atom: -3.5848
Mass density, Mg/m³: 6.9
Energy relative to the elements, uncorrected, eV per atom: 0.277

Lattice parameters (Å, degrees): 5.3278 5.3278 5.1778 90.00 90.00 90.00
Last column: nearest neighbours and their distance in Å.
Space group P4/mmm (No. 123)
Inequivalent atoms, fractional coordinates:
Sb 0.0000 0.0000 0.0000  2 Rh 2.59
Te 0.0000 0.5000 0.5000  2 Rh 2.66
Rh 0.0000 0.0000 0.5000  2 Sb 2.59, 4 Te 2.66
I 0.5000 0.5000 0.0000  8 Te 3.71, 4 Sb 3.77